This record from Alexandria via LeMat-Bulk describes a relaxed structure of Re2SbRh. The functional is GGA-PBEsol.

The structure belongs to space group Pm (No. 6); the cell edges are 2.922, 3.855 and 5.628 Å and the angles 90.00°, 92.70° and 90.00°. The distinct sites, in fractional coordinates, are Re at (0.000, 0.000, 0.000), Re at (0.460, 0.500, 0.190), Sb at (0.954, 0.000, 0.496) and Rh at (0.447, 0.500, 0.716).

For the uncorrected formation energy, the calculation gives 0.249 eV/atom.